A plane-wave DFT calculation with PBE was carried out for a relaxed Ti3Ga4Ni2 crystal.

a = 4.2205 Å, b = 5.0882 Å, c = 7.8448 Å
α = 117.89°, β = 90.00°, γ = 114.50°
Closest atoms and distances in Å follow each position.
Sites, in units of the cell vectors:
Ti1 0.6604 0.3209 0.6722  4 Ni 2.71-2.89, 8 Ga 2.72-2.92, 2 Ti 2.81-2.86
Ti2 0.0000 0.0000 0.0000  8 Ga 2.69-2.99, 4 Ni 2.82, 2 Ti 2.86
Ti3 0.3396 0.6791 0.3278  4 Ni 2.71-2.89, 8 Ga 2.72-2.92, 2 Ti 2.81-2.86
Ga1 0.6951 0.3902 0.0386  2 Ni 2.39-2.62, 2 Ga 2.55
Ga2 0.3049 0.6098 0.9614  2 Ni 2.39-2.62, 2 Ga 2.55
Ga3 0.9147 0.8295 0.5902  3 Ni 2.41-2.64, 1 Ga 2.61
Ga4 0.0853 0.1705 0.4098  3 Ni 2.41-2.64, 1 Ga 2.61
Ni1 0.6078 0.2155 0.2766  5 Ga 2.39-2.64
Ni2 0.3922 0.7845 0.7234  5 Ga 2.39-2.64

Output
Crystal system: monoclinic
Energy of formation, kcal/mol of atoms: -11.3
N(E_F), states/eV/atom: 0.700



A plane-wave DFT calculation with PBE was carried out for a relaxed Ti2GaNi8 crystal.

a = 3.6320 Å, b = 5.8093 Å, c = 6.7357 Å
α = 105.67°, β = 105.64°, γ = 90.00°
Closest atoms and distances in Å follow each position.
Sites, in units of the cell vectors:
Ti1 0.7781 0.3370 0.5563  10 Ni 2.47-2.70
Ti2 0.2219 0.6630 0.4437  10 Ni 2.47-2.70
Ga1 0.5000 0.0000 0.0000  12 Ni 2.50-2.59
Ni1 0.4091 0.5466 0.8182  8 Ni 2.50-2.59, 3 Ti 2.55-2.70, 1 Ga 2.57
Ni2 0.6770 0.9064 0.3541  3 Ti 2.47-2.48, 1 Ga 2.50, 8 Ni 2.55-2.63
Ni3 0.8591 0.8146 0.7183  3 Ti 2.52-2.68, 7 Ni 2.56-2.64, 2 Ga 2.59
Ni4 0.9593 0.2783 0.9185  1 Ti 2.47, 9 Ni 2.49-2.64, 2 Ga 2.58
Ni5 0.1409 0.1854 0.2817  3 Ti 2.52-2.68, 7 Ni 2.56-2.64, 2 Ga 2.59
Ni6 0.3230 0.0936 0.6459  3 Ti 2.47-2.48, 1 Ga 2.50, 8 Ni 2.55-2.63
Ni7 0.5909 0.4534 0.1818  8 Ni 2.50-2.59, 3 Ti 2.55-2.70, 1 Ga 2.57
Ni8 0.0407 0.7217 0.0815  1 Ti 2.47, 9 Ni 2.49-2.64, 2 Ga 2.58

Output
Crystal system: monoclinic
Energy of formation, kcal/mol of atoms: -7.6
N(E_F), states/eV/atom: 0.747



A plane-wave DFT calculation with PBE was carried out for a relaxed Ti12Ga6Ni crystal.

a = 6.7262 Å, b = 6.7262 Å, c = 6.7262 Å
α = 89.21°, β = 89.21°, γ = 89.21°
Closest atoms and distances in Å follow each position.
Sites, in units of the cell vectors:
Ti1 0.8080 0.5187 0.4391  4 Ga 2.71-2.86, 4 Ti 2.73-2.78
Ti2 0.4391 0.8080 0.5187  4 Ga 2.71-2.86, 4 Ti 2.73-2.78
Ti3 0.5187 0.4391 0.8080  4 Ga 2.71-2.86, 4 Ti 2.73-2.78
Ti4 0.1920 0.4813 0.5609  4 Ga 2.71-2.86, 4 Ti 2.73-2.78
Ti5 0.5609 0.1920 0.4813  4 Ga 2.71-2.86, 4 Ti 2.73-2.78
Ti6 0.4813 0.5609 0.1920  4 Ga 2.71-2.86, 4 Ti 2.73-2.78
Ti7 0.0600 0.1427 0.3801  4 Ti 2.62-2.76, 4 Ga 2.77-2.85, 1 Ni 2.78
Ti8 0.8573 0.6199 0.9400  4 Ti 2.62-2.76, 4 Ga 2.77-2.85, 1 Ni 2.78
Ti9 0.6199 0.9400 0.8573  4 Ti 2.62-2.76, 4 Ga 2.77-2.85, 1 Ni 2.78
Ti10 0.9400 0.8573 0.6199  4 Ti 2.62-2.76, 4 Ga 2.77-2.85, 1 Ni 2.78
Ti11 0.1427 0.3801 0.0600  4 Ti 2.62-2.76, 4 Ga 2.77-2.85, 1 Ni 2.78
Ti12 0.3801 0.0600 0.1427  4 Ti 2.62-2.76, 4 Ga 2.77-2.85, 1 Ni 2.78
Ga1 0.7361 0.8796 0.2517  1 Ni 2.57, 8 Ti 2.71-2.86, 2 Ga 2.72
Ga2 0.7483 0.2639 0.1204  1 Ni 2.57, 8 Ti 2.71-2.86, 2 Ga 2.72
Ga3 0.1204 0.7483 0.2639  1 Ni 2.57, 8 Ti 2.71-2.86, 2 Ga 2.72
Ga4 0.2639 0.1204 0.7483  1 Ni 2.57, 8 Ti 2.71-2.86, 2 Ga 2.72
Ga5 0.2517 0.7361 0.8796  1 Ni 2.57, 8 Ti 2.71-2.86, 2 Ga 2.72
Ga6 0.8796 0.2517 0.7361  1 Ni 2.57, 8 Ti 2.71-2.86, 2 Ga 2.72
Ni1 0.0000 0.0000 0.0000  6 Ga 2.57, 6 Ti 2.78

Output
Crystal system: trigonal
Energy of formation, kcal/mol of atoms: -6.5
N(E_F), states/eV/atom: 1.188



A plane-wave DFT calculation with PBE was carried out for a relaxed TiGa3Ni crystal.

a = 4.4559 Å, b = 4.4559 Å, c = 4.4559 Å
α = 90.00°, β = 90.00°, γ = 90.00°
Closest atoms and distances in Å follow each position.
Sites, in units of the cell vectors:
Ni1 0.0000 0.0000 0.0000  6 Ga 2.23
Ga1 0.0000 0.5000 0.0000  2 Ni 2.23
Ga2 0.0000 0.0000 0.5000  2 Ni 2.23
Ga3 0.5000 0.0000 0.0000  2 Ni 2.23
Ti1 0.5000 0.5000 0.5000  12 Ga 3.15

Output
Crystal system: cubic
Energy above the most stable polymorph in this dataset, eV/f.u.: 2.01
Energy of formation, kcal/mol of atoms: 3.1
N(E_F), states/eV/atom: 0.843



A plane-wave DFT calculation with PBE was carried out for a relaxed Ti3Ga2Ni crystal.

a = 5.1288 Å, b = 5.1596 Å, c = 7.9468 Å
α = 108.94°, β = 108.83°, γ = 90.00°
Closest atoms and distances in Å follow each position.
Sites, in units of the cell vectors:
Ti1 0.4512 0.6806 0.3611  5 Ga 2.63-2.68
Ti2 0.5488 0.3194 0.6389  5 Ga 2.63-2.68
Ti3 0.0901 0.8194 0.6389  5 Ga 2.63-2.68
Ti4 0.9099 0.1806 0.3611  5 Ga 2.63-2.68
Ti5 0.5000 0.7500 0.0000  2 Ni 2.56, 2 Ti 2.58, 4 Ga 2.68
Ti6 0.5000 0.2500 0.0000  2 Ni 2.56, 2 Ti 2.58, 4 Ga 2.68
Ga1 0.3574 0.1325 0.2650  2 Ni 2.55, 7 Ti 2.63-2.68
Ga2 0.6426 0.8675 0.7350  2 Ni 2.55, 7 Ti 2.63-2.68
Ga3 0.0925 0.3675 0.7350  2 Ni 2.55, 7 Ti 2.63-2.68
Ga4 0.9075 0.6325 0.2650  2 Ni 2.55, 7 Ti 2.63-2.68
Ni1 0.0000 0.2500 0.0000  4 Ga 2.55, 2 Ti 2.56, 2 Ni 2.58
Ni2 0.0000 0.7500 0.0000  4 Ga 2.55, 2 Ti 2.56, 2 Ni 2.58

Output
Crystal system: orthorhombic
Energy above the most stable polymorph in this dataset, eV/f.u.: 0.60
Energy of formation, kcal/mol of atoms: -7.5
N(E_F), states/eV/atom: 1.005



A plane-wave DFT calculation with PBE was carried out for a relaxed TiGaNi3 crystal.

a = 4.5800 Å, b = 6.2732 Å, c = 6.2627 Å
α = 120.05°, β = 90.00°, γ = 90.00°
Closest atoms and distances in Å follow each position.
Sites, in units of the cell vectors:
Ti1 0.7500 0.8055 0.6110  8 Ni 2.39-2.59
Ti2 0.2500 0.1945 0.3890  8 Ni 2.39-2.59
Ga1 0.7500 0.5486 0.0971  2 Ni 2.39, 2 Ga 2.52
Ga2 0.2500 0.4514 0.9029  2 Ni 2.39, 2 Ga 2.52
Ni1 0.7500 0.9866 0.3532  3 Ni 2.38-2.53, 1 Ga 2.39, 3 Ti 2.39-2.59
Ni2 0.7500 0.3666 0.3532  3 Ni 2.38-2.53, 1 Ga 2.39, 3 Ti 2.39-2.59
Ni3 0.2500 0.6334 0.6468  3 Ni 2.38-2.53, 1 Ga 2.39, 3 Ti 2.39-2.59
Ni4 0.2500 0.0134 0.6468  3 Ni 2.38-2.53, 1 Ga 2.39, 3 Ti 2.39-2.59
Ni5 0.0000 0.0000 0.0000  6 Ni 2.29-2.53, 2 Ti 2.40
Ni6 0.5000 0.0000 0.0000  6 Ni 2.29-2.53, 2 Ti 2.40

Output
Crystal system: orthorhombic
Energy above the most stable polymorph in this dataset, eV/f.u.: 0.80
Energy of formation, kcal/mol of atoms: 2.8
N(E_F), states/eV/atom: 0.674



A plane-wave DFT calculation with PBE was carried out for a relaxed TiGa2Ni crystal.

a = 4.3183 Å, b = 4.3183 Å, c = 4.3183 Å
α = 60.00°, β = 60.00°, γ = 60.00°
Closest atoms and distances in Å follow each position.
Sites, in units of the cell vectors:
Ni1 0.5000 0.5000 0.5000  8 Ga 2.64
Ga1 0.2500 0.2500 0.2500  4 Ni 2.64, 4 Ti 2.64
Ga2 0.7500 0.7500 0.7500  4 Ni 2.64, 4 Ti 2.64
Ti1 0.0000 0.0000 0.0000  8 Ga 2.64

Output
Crystal system: cubic
Energy of formation, kcal/mol of atoms: -6.5
N(E_F), states/eV/atom: 0.814



A plane-wave DFT calculation with PBE was carried out for a relaxed Ti5Ga4Ni crystal.

a = 5.3371 Å, b = 6.1801 Å, c = 6.1801 Å
α = 79.25°, β = 64.42°, γ = 64.42°
Closest atoms and distances in Å follow each position.
Sites, in units of the cell vectors:
Ti1 0.8864 0.3856 0.7453  5 Ga 2.62-2.80, 1 Ti 2.79, 1 Ni 2.87
Ti2 0.2720 0.7453 0.6144  5 Ga 2.62-2.80, 1 Ti 2.79, 1 Ni 2.87
Ti3 0.6317 0.2547 0.3856  5 Ga 2.62-2.80, 1 Ti 2.79, 1 Ni 2.87
Ti4 0.0173 0.6144 0.2547  5 Ga 2.62-2.80, 1 Ti 2.79, 1 Ni 2.87
Ti5 0.7494 0.0000 0.0000  1 Ni 2.35
Ga1 0.3449 0.3395 0.8527  1 Ni 2.46, 5 Ti 2.62-2.71
Ga2 0.6844 0.8527 0.6605  1 Ni 2.46, 5 Ti 2.62-2.71
Ga3 0.1976 0.1473 0.3395  1 Ni 2.46, 5 Ti 2.62-2.71
Ga4 0.5372 0.6605 0.1473  1 Ni 2.46, 5 Ti 2.62-2.71
Ni1 0.1892 0.0000 0.0000  1 Ti 2.35, 4 Ga 2.46

Output
Crystal system: tetragonal
Energy above the most stable polymorph in this dataset, eV/f.u.: 2.82
Energy of formation, kcal/mol of atoms: -3.7
N(E_F), states/eV/atom: 0.961